Here is a relaxed CsBi2Pb10 crystal from Alexandria. Energies are from PBE.

- ΔH_f (0 K) (eV per atom) = -0.03

a b c (Å): 11.622 9.022 8.738
angles (deg): 81.73 50.19 48.08
Fractional positions:
1 Cs 0.000 0.000 0.000
2 Bi 0.000 0.000 0.500
3 Bi 0.500 0.500 0.000
4 Pb 0.000 0.500 0.000
5 Pb 0.002 0.643 0.357
6 Pb 0.275 0.500 0.500
7 Pb 0.357 0.998 0.002
8 Pb 0.500 0.000 0.500
9 Pb 0.500 0.275 0.725
10 Pb 0.500 0.725 0.275
11 Pb 0.643 0.002 0.998
12 Pb 0.725 0.500 0.500
13 Pb 0.998 0.357 0.643


Here is a relaxed SrCdN2F crystal from Alexandria. Energies are from PBE.

- energy relative to the elements, uncorrected (meV/atom) = -44
- ΔE to the lowest computed polymorph (eV/atom) = 0.000

a b c (Å): 4.215 4.215 4.632
angles (deg): 90.00 90.00 90.00
Fractional positions:
1 Sr 0.000 0.000 0.000
2 Cd 0.500 0.500 0.500
3 N 0.000 0.500 0.500
4 N 0.500 0.000 0.500
5 F 0.500 0.500 0.000


Here is a relaxed AcCeMg2Cd4 crystal from Alexandria. Energies are from PBE.

- ΔH_f (0 K) (eV per atom) = -0.25

a b c (Å): 9.235 9.235 9.235
angles (deg): 33.21 33.21 33.21
Fractional positions:
1 Ac 0.000 0.000 0.000
2 Ce 0.500 0.500 0.500
3 Mg 0.248 0.248 0.248
4 Mg 0.752 0.752 0.752
5 Cd 0.128 0.128 0.128
6 Cd 0.380 0.380 0.380
7 Cd 0.620 0.620 0.620
8 Cd 0.872 0.872 0.872


Here is a relaxed ScMoSe crystal from Alexandria. Energies are from PBE.

- energy relative to the elements, uncorrected (meV/atom) = -212
- ΔE to the lowest computed polymorph (eV/atom) = 0.104

a b c (Å): 4.348 4.348 3.367
angles (deg): 90.00 90.00 120.00
Fractional positions:
1 Sc 0.000 0.000 0.000
2 Mo 0.333 0.667 0.500
3 Se 0.667 0.333 0.500


Here is a relaxed YAg5 crystal from Alexandria. Energies are from PBE.

- ΔH_f (0 K) (eV per atom) = -0.11

a b c (Å): 5.226 5.226 6.249
angles (deg): 105.99 105.99 47.18
Fractional positions:
1 Y 0.000 0.000 0.000
2 Ag 0.000 0.000 0.500
3 Ag 0.330 0.330 0.655
4 Ag 0.334 0.334 0.180
5 Ag 0.666 0.666 0.820
6 Ag 0.670 0.670 0.345


Here is a relaxed Ca2HoS4 crystal from Alexandria. Energies are from PBE.

- energy relative to the elements, uncorrected (meV/atom) = -1768

a b c (Å): 7.069 7.069 12.769
angles (deg): 90.00 90.00 148.49
Fractional positions:
1 Ca 0.130 0.870 0.570
2 Ca 0.130 0.870 0.930
3 Ca 0.870 0.130 0.070
4 Ca 0.870 0.130 0.430
5 Ho 0.378 0.622 0.750
6 Ho 0.622 0.378 0.250
7 S 0.018 0.982 0.750
8 S 0.223 0.777 0.128
9 S 0.223 0.777 0.372
10 S 0.500 0.500 0.000
11 S 0.500 0.500 0.500
12 S 0.777 0.223 0.628
13 S 0.777 0.223 0.872
14 S 0.982 0.018 0.250


Here is a relaxed KNa6Ag4 crystal from Alexandria. Energies are from PBE.

- ΔH_f (0 K) (eV per atom) = 0.01

a b c (Å): 7.990 7.990 7.990
angles (deg): 122.93 122.93 84.99
Fractional positions:
1 K 0.000 0.000 0.000
2 Na 0.000 0.500 0.500
3 Na 0.089 0.484 0.000
4 Na 0.484 0.089 0.000
5 Na 0.500 0.000 0.500
6 Na 0.516 0.516 0.605
7 Na 0.911 0.911 0.395
8 Ag 0.281 0.281 0.711
9 Ag 0.429 0.719 0.000
10 Ag 0.571 0.571 0.289
11 Ag 0.719 0.429 0.000


Here is a relaxed YMo3 crystal from Alexandria. Energies are from PBE.

- ΔE to the lowest computed polymorph (eV/atom) = 0.081
- ΔH_f (0 K) (eV per atom) = 0.34

a b c (Å): 5.469 5.469 5.469
angles (deg): 145.33 127.54 64.42
Fractional positions:
1 Y 0.000 0.000 0.000
2 Mo 0.268 0.768 0.500
3 Mo 0.500 0.500 0.000
4 Mo 0.732 0.232 0.500


Here is a relaxed NdSm8Er5 crystal from Alexandria. Energies are from PBE.

- ΔH_f (0 K) (eV per atom) = 0.24

a b c (Å): 8.511 8.511 8.511
angles (deg): 111.61 111.61 105.27
Fractional positions:
1 Nd 0.000 0.000 0.000
2 Sm 0.086 0.673 0.764
3 Sm 0.177 0.282 0.755
4 Sm 0.327 0.091 0.413
5 Sm 0.527 0.422 0.245
6 Sm 0.578 0.823 0.105
7 Sm 0.678 0.914 0.587
8 Sm 0.718 0.473 0.895
9 Sm 0.909 0.322 0.236
10 Er 0.211 0.617 0.184
11 Er 0.383 0.567 0.594
12 Er 0.433 0.028 0.816
13 Er 0.750 0.250 0.500
14 Er 0.972 0.789 0.406


Here is a relaxed BaNa2Sr crystal from Alexandria. Energies are from PBE.

- ΔE to the lowest computed polymorph (eV/atom) = 0.005
- ΔH_f (0 K) (eV per atom) = 0.01

a b c (Å): 4.601 4.601 9.216
angles (deg): 90.00 90.00 90.00
Fractional positions:
1 Ba 0.000 0.000 0.000
2 Na 0.500 0.500 0.263
3 Na 0.500 0.500 0.737
4 Sr 0.000 0.000 0.500


Here is a relaxed Y6TlAg2 crystal from Alexandria. Energies are from PBE.

- ΔH_f (0 K) (eV per atom) = -0.21

a b c (Å): 8.733 8.733 8.733
angles (deg): 110.77 110.65 107.03
Fractional positions:
1 Y 0.037 0.823 0.214
2 Y 0.242 0.541 0.299
3 Y 0.242 0.943 0.701
4 Y 0.276 0.318 0.594
5 Y 0.276 0.682 0.958
6 Y 0.391 0.177 0.214
7 Y 0.609 0.823 0.786
8 Y 0.724 0.318 0.042
9 Y 0.724 0.682 0.406
10 Y 0.758 0.057 0.299
11 Y 0.758 0.459 0.701
12 Y 0.963 0.177 0.786
13 Tl 0.000 0.500 0.500
14 Tl 0.500 0.000 0.500
15 Ag 0.000 0.146 0.146
16 Ag 0.000 0.854 0.854
17 Ag 0.368 0.368 0.000
18 Ag 0.632 0.632 0.000


Here is a relaxed ScNi5Ge crystal from Alexandria. Energies are from PBE.

- ΔH_f (0 K) (eV per atom) = -0.31

a b c (Å): 3.705 3.705 6.699
angles (deg): 90.00 90.00 90.00
Fractional positions:
1 Sc 0.000 0.000 0.000
2 Ni 0.000 0.500 0.283
3 Ni 0.000 0.500 0.717
4 Ni 0.500 0.000 0.283
5 Ni 0.500 0.000 0.717
6 Ni 0.500 0.500 0.000
7 Ge 0.500 0.500 0.500


Here is a relaxed LaVNiP2 crystal from Alexandria. Energies are from PBE.

- ΔH_f (0 K) (eV per atom) = -0.99

a b c (Å): 6.428 6.428 6.428
angles (deg): 145.06 145.06 50.25
Fractional positions:
1 La 0.000 0.000 0.000
2 V 0.750 0.250 0.500
3 Ni 0.250 0.750 0.500
4 P 0.361 0.361 0.000
5 P 0.639 0.639 0.000


Here is a relaxed Sc2TiTe crystal from Alexandria. Energies are from PBE.

- energy relative to the elements, uncorrected (meV/atom) = 113

a b c (Å): 10.645 10.645 10.645
angles (deg): 17.77 17.77 17.77
Fractional positions:
1 Sc 0.093 0.093 0.093
2 Sc 0.907 0.907 0.907
3 Ti 0.500 0.500 0.500
4 Te 0.000 0.000 0.000


Here is a relaxed Sr2CrHg crystal from Alexandria. Energies are from PBE.

- ΔE to the lowest computed polymorph (eV/atom) = 0.194
- ΔH_f (0 K) (eV per atom) = 0.28

a b c (Å): 5.473 5.473 5.473
angles (deg): 60.00 60.00 60.00
Fractional positions:
1 Sr 0.000 0.000 0.000
2 Sr 0.250 0.250 0.250
3 Cr 0.750 0.750 0.750
4 Hg 0.500 0.500 0.500


Here is a relaxed FeOsSe2 crystal from Alexandria. Energies are from PBE.

- energy relative to the elements, uncorrected (meV/atom) = 235
- ΔE to the lowest computed polymorph (eV/atom) = 0.249

a b c (Å): 3.092 3.626 6.645
angles (deg): 90.00 90.00 90.00
Fractional positions:
1 Fe 0.000 0.000 0.000
2 Os 0.500 0.500 0.201
3 Se 0.000 0.000 0.358
4 Se 0.500 0.500 0.839


Here is a relaxed Na2NpCd2O6 crystal from Alexandria. Energies are from PBE.

- energy relative to the elements, uncorrected (meV/atom) = -1858

a b c (Å): 5.727 5.727 6.036
angles (deg): 100.58 100.58 117.69
Fractional positions:
1 Na 0.178 0.822 0.000
2 Na 0.822 0.178 0.000
3 Np 0.000 0.000 0.500
4 Cd 0.338 0.662 0.500
5 Cd 0.662 0.338 0.500
6 O 0.062 0.371 0.715
7 O 0.217 0.217 0.291
8 O 0.371 0.062 0.715
9 O 0.629 0.938 0.285
10 O 0.783 0.783 0.709
11 O 0.938 0.629 0.285


Here is a relaxed ZrAsOF2 crystal from Alexandria. Energies are from PBE.

- energy relative to the elements, uncorrected (meV/atom) = -1949
- ΔE to the lowest computed polymorph (eV/atom) = 0.000

a b c (Å): 4.410 4.410 4.097
angles (deg): 90.00 90.00 90.00
Fractional positions:
1 Zr 0.000 0.000 0.000
2 As 0.500 0.500 0.500
3 O 0.000 0.000 0.500
4 F 0.000 0.500 0.000
5 F 0.500 0.000 0.000


Here is a relaxed TlFe3Ag crystal from Alexandria. Energies are from PBE.

- ΔE to the lowest computed polymorph (eV/atom) = 0.000
- ΔH_f (0 K) (eV per atom) = 1.37

a b c (Å): 4.773 4.773 4.773
angles (deg): 90.00 90.00 90.00
Fractional positions:
1 Tl 0.000 0.000 0.000
2 Fe 0.000 0.500 0.500
3 Fe 0.500 0.000 0.500
4 Fe 0.500 0.500 0.000
5 Ag 0.500 0.500 0.500


Here is a relaxed CsBS2 crystal from Alexandria. Energies are from PBE.

- energy relative to the elements, uncorrected (meV/atom) = -830
- ΔE to the lowest computed polymorph (eV/atom) = 0.057

a b c (Å): 5.938 5.967 5.996
angles (deg): 106.02 116.29 105.91
Fractional positions:
1 Cs 0.000 0.000 0.000
2 B 0.500 0.500 0.000
3 S 0.497 0.268 0.764
4 S 0.503 0.732 0.236


Here is a relaxed Na3TcBi crystal from Alexandria. Energies are from PBE.

- ΔE to the lowest computed polymorph (eV/atom) = 0.000
- ΔH_f (0 K) (eV per atom) = 1.01

a b c (Å): 5.909 5.909 5.909
angles (deg): 90.00 90.00 90.00
Fractional positions:
1 Na 0.000 0.000 0.500
2 Na 0.000 0.500 0.000
3 Na 0.500 0.000 0.000
4 Tc 0.500 0.500 0.500
5 Bi 0.000 0.000 0.000


Here is a relaxed Tb12Pm7Pu crystal from Alexandria. Energies are from PBE.

- ΔH_f (0 K) (eV per atom) = 0.67

a b c (Å): 9.836 9.836 9.836
angles (deg): 109.47 109.47 109.47
Fractional positions:
1 Tb 0.000 0.246 0.754
2 Tb 0.000 0.754 0.246
3 Tb 0.246 0.000 0.754
4 Tb 0.246 0.246 0.491
5 Tb 0.246 0.491 0.246
6 Tb 0.246 0.754 0.000
7 Tb 0.491 0.246 0.246
8 Tb 0.509 0.754 0.754
9 Tb 0.754 0.000 0.246
10 Tb 0.754 0.246 0.000
11 Tb 0.754 0.509 0.754
12 Tb 0.754 0.754 0.509
13 Pm 0.000 0.000 0.500
14 Pm 0.000 0.500 0.000
15 Pm 0.000 0.500 0.500
16 Pm 0.500 0.000 0.000
17 Pm 0.500 0.000 0.500
18 Pm 0.500 0.500 0.000
19 Pm 0.500 0.500 0.500
20 Pu 0.000 0.000 0.000


Here is a relaxed La3SnO crystal from Alexandria. Energies are from PBE.

- energy relative to the elements, uncorrected (meV/atom) = -1388

a b c (Å): 9.635 6.540 9.335
angles (deg): 90.00 112.30 90.00
Fractional positions:
1 La 0.045 0.106 0.342
2 La 0.045 0.394 0.842
3 La 0.177 0.582 0.541
4 La 0.177 0.918 0.041
5 La 0.357 0.125 0.756
6 La 0.357 0.375 0.256
7 La 0.643 0.625 0.744
8 La 0.643 0.875 0.244
9 La 0.823 0.082 0.959
10 La 0.823 0.418 0.459
11 La 0.955 0.606 0.158
12 La 0.955 0.894 0.658
13 Sn 0.375 0.639 0.906
14 Sn 0.375 0.861 0.406
15 Sn 0.625 0.139 0.594
16 Sn 0.625 0.361 0.094
17 O 0.076 0.239 0.608
18 O 0.076 0.261 0.108
19 O 0.924 0.739 0.892
20 O 0.924 0.761 0.392